# Fe4C PBE relaxed
data_Fe4C
_chemical_formula_sum 'Fe8 C2'
_space_group_name_H-M_alt 'P 1 21/m 1'
_space_group_IT_number 11
_cell_length_a 5.9934
_cell_length_b 2.6683
_cell_length_c 6.2967
_cell_angle_alpha 90.00
_cell_angle_beta 100.98
_cell_angle_gamma 90.00
loop_
_space_group_symop_operation_xyz
'x,y,z'
'-x,-y,-z'
'-x,y+1/2,-z'
'x,-y+1/2,z'
loop_
_atom_site_label
_atom_site_fract_x
_atom_site_fract_y
_atom_site_fract_z
_atom_site_occupancy
Fe1 0.0210 0.2500 0.1827 1
Fe2 0.1824 0.2500 0.5631 1
Fe3 0.3266 0.2500 0.9654 1
Fe4 0.3960 0.7500 0.3200 1
C1 0.3753 0.7500 0.7456 1
# Excess energy over the best structure of this formula in the dataset   7.2 meV per atom